# Ac4Dy | the Alexandria database | PBE-GGA | optimized geometry
# ΔH_f (0 K), eV/atom: 0.55
# Offset from the most stable computed form, meV/atom: 450
# Density of states at the Fermi level, states/eV per cell: 9.21
# Raw total energy, eV/cell: -18.3
# ρ, g cm⁻³: 7.269
# Crystal system: cubic
data_Ac4Dy
_chemical_formula_sum 'Ac4 Dy1'
_cell_length_a 6.254
_cell_length_b 6.254
_cell_length_c 6.254
_cell_angle_alpha 90.00
_cell_angle_beta 90.00
_cell_angle_gamma 90.00
_symmetry_space_group_name_H-M 'P m -3 m'
_symmetry_Int_Tables_number 221
_symmetry_space_group_name_Hall '-P 4 2 3'
loop_
_atom_site_label
_atom_site_type_symbol
_atom_site_fract_x
_atom_site_fract_y
_atom_site_fract_z
Ac1 Ac 0.000 0.000 0.000
Ac2 Ac 0.000 0.500 0.500
Dy1 Dy 0.500 0.500 0.500

---

# Ac4Dy | the Alexandria database | PBE-GGA | optimized geometry
# ΔH_f (0 K), eV/atom: 0.10
# Offset from the most stable computed form, meV/atom: 0
# Density of states at the Fermi level, states/eV per cell: 19.28
# Raw total energy, eV/cell: -41.1
# ρ, g cm⁻³: 8.348
# Crystal system: tetragonal
data_Ac4Dy
_chemical_formula_sum 'Ac8 Dy2'
_cell_length_a 10.254
_cell_length_b 10.254
_cell_length_c 4.051
_cell_angle_alpha 90.00
_cell_angle_beta 90.00
_cell_angle_gamma 90.00
_symmetry_space_group_name_H-M 'I 4/m'
_symmetry_Int_Tables_number 87
_symmetry_space_group_name_Hall '-I 4'
loop_
_atom_site_label
_atom_site_type_symbol
_atom_site_fract_x
_atom_site_fract_y
_atom_site_fract_z
Ac1 Ac 0.086 0.281 0.000
Dy1 Dy 0.000 0.000 0.500

---

# AcDy5 | the Alexandria database | PBE-GGA | optimized geometry
# ΔH_f (0 K), eV/atom: 0.05
# Offset from the most stable computed form, meV/atom: 3
# Density of states at the Fermi level, states/eV per cell: 18.15
# Raw total energy, eV/cell: -53.7
# ρ, g cm⁻³: 8.599
# Crystal system: orthorhombic
data_AcDy5
_chemical_formula_sum 'Ac2 Dy10'
_cell_length_a 5.102
_cell_length_b 15.369
_cell_length_c 5.120
_cell_angle_alpha 90.00
_cell_angle_beta 90.00
_cell_angle_gamma 90.00
_symmetry_space_group_name_H-M 'C m m m'
_symmetry_Int_Tables_number 65
_symmetry_space_group_name_Hall '-C 2 2'
loop_
_atom_site_label
_atom_site_type_symbol
_atom_site_fract_x
_atom_site_fract_y
_atom_site_fract_z
Ac1 Ac 0.000 0.000 0.000
Dy1 Dy 0.000 0.170 0.500
Dy2 Dy 0.000 0.329 0.000
Dy3 Dy 0.000 0.500 0.500

---

# Ac7Dy | the Alexandria database | PBE-GGA | optimized geometry
# ΔH_f (0 K), eV/atom: 0.03
# Density of states at the Fermi level, states/eV per cell: 51.72
# Raw total energy, eV/cell: -132.4
# ρ, g cm⁻³: 8.411
# Crystal system: cubic
data_Ac7Dy
_chemical_formula_sum 'Ac28 Dy4'
_cell_length_a 11.142
_cell_length_b 11.142
_cell_length_c 11.142
_cell_angle_alpha 90.00
_cell_angle_beta 90.00
_cell_angle_gamma 90.00
_symmetry_space_group_name_H-M 'F m -3 m'
_symmetry_Int_Tables_number 225
_symmetry_space_group_name_Hall '-F 4 2 3'
loop_
_atom_site_label
_atom_site_type_symbol
_atom_site_fract_x
_atom_site_fract_y
_atom_site_fract_z
Ac1 Ac 0.000 0.000 0.000
Ac2 Ac 0.000 0.250 0.250
Dy1 Dy 0.000 0.000 0.500

---

# Ac2Dy3 | the Alexandria database | PBE-GGA | optimized geometry
# ΔH_f (0 K), eV/atom: 0.25
# Density of states at the Fermi level, states/eV per cell: 15.97
# Raw total energy, eV/cell: -41.5
# ρ, g cm⁻³: 8.176
# Crystal system: triclinic
data_Ac2Dy3
_chemical_formula_sum 'Ac4 Dy6'
_cell_length_a 5.383
_cell_length_b 7.602
_cell_length_c 9.734
_cell_angle_alpha 94.97
_cell_angle_beta 105.28
_cell_angle_gamma 91.22
_symmetry_space_group_name_H-M 'P -1'
_symmetry_Int_Tables_number 2
loop_
_symmetry_equiv_pos_as_xyz
'x,y,z'
'-x,-y,-z'
loop_
_atom_site_label
_atom_site_type_symbol
_atom_site_fract_x
_atom_site_fract_y
_atom_site_fract_z
Ac1 Ac 0.000 0.000 0.000
Ac2 Ac 0.071 0.214 0.649
Ac3 Ac 0.500 0.500 0.500
Dy1 Dy 0.119 0.674 0.739
Dy2 Dy 0.305 0.548 0.116
Dy3 Dy 0.427 0.071 0.341

---

# AcDy | the Alexandria database | PBE-GGA | optimized geometry
# ΔH_f (0 K), eV/atom: 0.09
# Offset from the most stable computed form, meV/atom: 28
# Density of states at the Fermi level, states/eV per cell: 3.00
# Raw total energy, eV/cell: -8.5
# ρ, g cm⁻³: 8.554
# Crystal system: cubic
data_AcDy
_chemical_formula_sum 'Ac1 Dy1'
_cell_length_a 4.229
_cell_length_b 4.229
_cell_length_c 4.229
_cell_angle_alpha 90.00
_cell_angle_beta 90.00
_cell_angle_gamma 90.00
_symmetry_space_group_name_H-M 'P m -3 m'
_symmetry_Int_Tables_number 221
_symmetry_space_group_name_Hall '-P 4 2 3'
loop_
_atom_site_label
_atom_site_type_symbol
_atom_site_fract_x
_atom_site_fract_y
_atom_site_fract_z
Ac1 Ac 0.000 0.000 0.000
Dy1 Dy 0.500 0.500 0.500

---

# Ac8Dy2Er | the Alexandria database | PBE-GGA | optimized geometry
# ΔH_f (0 K), eV/atom: 0.05
# Density of states at the Fermi level, states/eV per cell: 36.25
# Raw total energy, eV/cell: -92.1
# ρ, g cm⁻³: 8.514
# Crystal system: monoclinic
data_Ac8Dy2Er
_chemical_formula_sum 'Ac16 Dy4 Er2'
_cell_length_a 19.565
_cell_length_b 5.522
_cell_length_c 8.652
_cell_angle_alpha 90.00
_cell_angle_beta 105.57
_cell_angle_gamma 90.00
_symmetry_space_group_name_H-M 'C 1 2/m 1'
_symmetry_Int_Tables_number 12
loop_
_symmetry_equiv_pos_as_xyz
'x,y,z'
'-x,-y,-z'
'-x,y,-z'
'x,-y,z'
'x+1/2,y+1/2,z'
'-x+1/2,-y+1/2,-z'
'-x+1/2,y+1/2,-z'
'x+1/2,-y+1/2,z'
loop_
_atom_site_label
_atom_site_type_symbol
_atom_site_fract_x
_atom_site_fract_y
_atom_site_fract_z
Ac1 Ac 0.047 0.000 0.230
Ac2 Ac 0.094 0.500 0.953
Ac3 Ac 0.138 0.000 0.691
Ac4 Ac 0.182 0.500 0.416
Dy1 Dy 0.226 0.000 0.132
Er1 Er 0.000 0.500 0.500

---

# AcDy3Er4 | the Alexandria database | PBE-GGA | optimized geometry
# ΔH_f (0 K), eV/atom: 0.14
# Density of states at the Fermi level, states/eV per cell: 28.66
# Raw total energy, eV/cell: -70.1
# ρ, g cm⁻³: 8.629
# Crystal system: monoclinic
data_AcDy3Er4
_chemical_formula_sum 'Ac2 Dy6 Er8'
_cell_length_a 12.082
_cell_length_b 13.037
_cell_length_c 3.533
_cell_angle_alpha 90.00
_cell_angle_beta 106.90
_cell_angle_gamma 90.00
_symmetry_space_group_name_H-M 'C 1 2/m 1'
_symmetry_Int_Tables_number 12
loop_
_symmetry_equiv_pos_as_xyz
'x,y,z'
'-x,-y,-z'
'-x,y,-z'
'x,-y,z'
'x+1/2,y+1/2,z'
'-x+1/2,-y+1/2,-z'
'-x+1/2,y+1/2,-z'
'x+1/2,-y+1/2,z'
loop_
_atom_site_label
_atom_site_type_symbol
_atom_site_fract_x
_atom_site_fract_y
_atom_site_fract_z
Ac1 Ac 0.000 0.000 0.000
Dy1 Dy 0.000 0.261 0.500
Dy2 Dy 0.000 0.500 0.000
Er1 Er 0.241 0.362 0.241